Material: KNaTl2F
Method: DFT, GGA-PBE
State: relaxed

Raw formation energy ... -210 meV/atom
Magnetization ... 0.0 Bohr magnetons per cell
Density ... 3.52 g/cm³

Cell: 5.5956 5.5956 7.3759 Å, 90.00 90.00 90.00°
Last column: nearest neighbours and their distance in Å.
Space group P4/mmm (No. 123)
Symmetry-distinct sites (fractional):
K  0.0000  0.0000  0.0000 (multiplicity 1)  2 Na 3.69, 4 F 3.96
Na  0.0000  0.0000  0.5000 (multiplicity 1)  4 Tl 2.80
Tl  0.0000  0.5000  0.5000 (multiplicity 2)  2 Na 2.80
F  0.5000  0.5000  0.0000 (multiplicity 1)  4 K 3.96